The following is a DFT calculation (PBE) of a relaxed structure of Rb5MnS5.

abc: 6.421 8.010 8.618
angles: 108.14 90.00 113.63
Sites, in units of the cell vectors:
S 0.880 0.759 0.119
S 0.874 0.748 0.742
S 0.126 0.252 0.258
S 0.500 0.000 0.000
S 0.120 0.241 0.881
Mn 0.000 0.000 0.000
Rb 0.306 0.612 0.700
Rb 0.337 0.674 0.165
Rb 0.000 0.000 0.500
Rb 0.694 0.388 0.300
Rb 0.663 0.326 0.835

## Properties
For the uncorrected formation energy, the calculation gives -0.68 eV/atom. For the total energy, the calculation gives -42.2 eV for the cell shown.